1.
Here is a geometry-optimized Li2CaSn3 structure from Alexandria via LeMat-Bulk. Energies are from PBE-GGA.

Its space group is P4/mmm. The density comes out at 4.93 g/cm³. The energy is -3.374 eV per atom.

Cell and atoms, written as extended XYZ:
```
6
Lattice="3.418 0.000 0.000 0.000 3.418 0.000 0.000 0.000 11.813" Properties=species:S:1:pos:R:3 pbc="T T T"
Li 0.000 0.000 1.827
Li 0.000 0.000 9.985
Ca 0.000 0.000 5.906
Sn 1.709 1.709 0.000
Sn 1.709 1.709 3.582
Sn 1.709 1.709 8.231
```

***

2.
Here is a geometry-optimized Y2ReSb structure from Alexandria via LeMat-Bulk. Energies are from PBE-GGA.

Its space group is R-3m. The density comes out at 8.22 g/cm³. The energy is -7.359 eV per atom.

Cell and atoms, written as extended XYZ:
```
12
Lattice="3.481 0.000 0.000 -1.741 3.015 0.000 0.000 0.000 28.052" Properties=species:S:1:pos:R:3 pbc="T T T"
Y 0.000 0.000 6.745
Y 0.000 0.000 21.307
Y 0.000 2.010 11.957
Y 0.000 2.010 25.446
Y 1.741 1.005 2.606
Y 1.741 1.005 16.096
Re 0.000 0.000 14.026
Re 0.000 2.010 4.675
Re 1.741 1.005 23.377
Sb 0.000 0.000 0.000
Sb 0.000 2.010 18.701
Sb 1.741 1.005 9.351
```

***

3.
Here is a geometry-optimized Pu4RhAu2 structure from Alexandria via LeMat-Bulk. Energies are from PBE-GGA.

Its space group is I-42d. The density comes out at 14.14 g/cm³. The energy is -10.491 eV per atom.

Cell and atoms, written as extended XYZ:
```
14
Lattice="-4.367 4.367 4.534 4.367 -4.367 4.534 4.367 4.367 -4.534" Properties=species:S:1:pos:R:3 pbc="T T T"
Pu 2.708 3.741 -2.654
Pu 4.993 1.659 -0.387
Pu 1.659 0.626 1.880
Pu 1.659 3.741 0.387
Pu 4.993 2.708 2.654
Pu 2.708 0.626 4.921
Pu -0.626 2.708 4.147
Pu -0.626 1.659 7.188
Rh 4.367 0.000 2.267
Rh 0.000 0.000 4.534
Au -0.976 2.183 1.134
Au 2.183 3.391 3.401
Au 0.976 6.550 1.134
Au -2.183 5.342 3.401
```

***

4.
Here is a geometry-optimized Li3Pm2Cu2 structure from Alexandria via LeMat-Bulk. Energies are from PBE-GGA.

Its space group is Cmmm. The density comes out at 4.49 g/cm³. The energy is -3.412 eV per atom.

Cell and atoms, written as extended XYZ:
```
14
Lattice="4.262 0.000 0.000 0.000 20.518 0.000 0.000 0.000 3.708" Properties=species:S:1:pos:R:3 pbc="T T T"
Li 0.000 0.000 0.000
Li 0.000 8.785 1.854
Li 0.000 11.733 1.854
Li 2.131 1.474 1.854
Li 2.131 10.259 0.000
Li 2.131 19.044 1.854
Pm 0.000 3.518 0.000
Pm 0.000 17.000 0.000
Pm 2.131 6.741 0.000
Pm 2.131 13.777 0.000
Cu 0.000 5.870 1.854
Cu 0.000 14.647 1.854
Cu 2.131 4.389 1.854
Cu 2.131 16.129 1.854
```

***

5.
Here is a geometry-optimized HfCoPb3 structure from Alexandria via LeMat-Bulk. Energies are from PBE-GGA.

Its space group is Pm-3m. The density comes out at 11.03 g/cm³. The energy is -4.958 eV per atom.

Cell and atoms, written as extended XYZ:
```
5
Lattice="5.057 0.000 0.000 0.000 5.057 0.000 0.000 0.000 5.057" Properties=species:S:1:pos:R:3 pbc="T T T"
Hf 0.000 0.000 0.000
Co 2.529 2.529 2.529
Pb 0.000 2.529 2.529
Pb 2.529 0.000 2.529
Pb 2.529 2.529 0.000
```

***

6.
Here is a geometry-optimized Ce6Bi2TeSe3 structure from Alexandria via LeMat-Bulk. Energies are from PBE-GGA.

Its space group is C2/m. The density comes out at 7.57 g/cm³. The energy is -6.129 eV per atom.

Cell and atoms, written as extended XYZ:
```
12
Lattice="9.575 -2.179 0.000 9.575 2.179 0.000 -2.141 0.000 8.537" Properties=species:S:1:pos:R:3 pbc="T T T"
Ce -0.389 0.000 2.028
Ce 5.368 0.000 3.685
Ce 4.565 0.000 7.697
Ce 12.444 0.000 0.840
Ce 11.641 0.000 4.852
Ce 17.398 0.000 6.509
Bi 1.402 0.000 7.115
Bi 15.607 0.000 1.422
Te 8.504 0.000 4.268
Se 2.488 0.000 2.853
Se 9.575 0.000 0.000
Se 14.521 0.000 5.684
```

***

7.
Here is a geometry-optimized Ta2InSi structure from Alexandria via LeMat-Bulk. Energies are from PBE-GGA.

Its space group is P4mm. The density comes out at 11.53 g/cm³. The energy is -7.914 eV per atom.

Cell and atoms, written as extended XYZ:
```
4
Lattice="3.527 0.000 0.000 0.000 3.527 0.000 0.000 0.000 5.846" Properties=species:S:1:pos:R:3 pbc="T T T"
Ta 0.000 0.000 0.000
Ta 1.763 1.763 1.353
In 0.000 0.000 2.967
Si 1.763 1.763 4.490
```

***

8.
Here is a geometry-optimized TiPtSe4 structure from Alexandria via LeMat-Bulk. Energies are from PBE-GGA.

Its space group is P2/m. The density comes out at 6.34 g/cm³. The energy is -5.321 eV per atom.

Cell and atoms, written as extended XYZ:
```
6
Lattice="6.111 0.000 0.000 0.000 3.670 0.000 -0.064 0.000 6.522" Properties=species:S:1:pos:R:3 pbc="T T T"
Ti 0.000 0.000 0.000
Pt 3.056 1.835 0.000
Se 0.997 1.835 1.529
Se 2.038 0.000 5.046
Se 4.008 0.000 1.476
Se 5.050 1.835 4.992
```

***

9.
Here is a geometry-optimized ScSi3Pb structure from Alexandria via LeMat-Bulk. Energies are from PBE-GGA.

Its space group is Pm-3m. The density comes out at 4.00 g/cm³. The energy is -3.937 eV per atom.

Cell and atoms, written as extended XYZ:
```
5
Lattice="5.187 0.000 0.000 0.000 5.187 0.000 0.000 0.000 5.187" Properties=species:S:1:pos:R:3 pbc="T T T"
Sc 0.000 0.000 0.000
Si 0.000 2.594 2.594
Si 2.594 0.000 2.594
Si 2.594 2.594 0.000
Pb 2.594 2.594 2.594
```

***

10.
Here is a geometry-optimized Cr2TcPt structure from Alexandria via LeMat-Bulk. Energies are from PBE-GGA.

Its space group is I-4m2. The density comes out at 12.13 g/cm³. The energy is -8.945 eV per atom.

Cell and atoms, written as extended XYZ:
```
8
Lattice="3.757 0.000 0.000 0.000 3.757 0.000 0.000 0.000 7.703" Properties=species:S:1:pos:R:3 pbc="T T T"
Cr 0.000 0.000 0.000
Cr 0.000 1.879 1.926
Cr 1.879 0.000 5.777
Cr 1.879 1.879 3.852
Tc 0.000 0.000 3.852
Tc 1.879 1.879 0.000
Pt 0.000 1.879 5.777
Pt 1.879 0.000 1.926
```

***

11.
Here is a geometry-optimized YAg structure from Alexandria via LeMat-Bulk. Energies are from PBE-GGA.

Its space group is Pm-3m. The density comes out at 6.74 g/cm³. The energy is -4.987 eV per atom.

Cell and atoms, written as extended XYZ:
```
2
Lattice="3.646 0.000 0.000 0.000 3.646 0.000 0.000 0.000 3.646" Properties=species:S:1:pos:R:3 pbc="T T T"
Y 0.000 0.000 0.000
Ag 1.823 1.823 1.823
```

***

12.
Here is a geometry-optimized LaYO2F structure from Alexandria via LeMat-Bulk. Energies are from PBE-GGA.

Its space group is P4/mmm. The density comes out at 5.48 g/cm³. The energy is -7.538 eV per atom.

Cell and atoms, written as extended XYZ:
```
5
Lattice="4.419 0.000 0.000 0.000 4.419 0.000 0.000 0.000 4.328" Properties=species:S:1:pos:R:3 pbc="T T T"
La 0.000 0.000 0.000
Y 2.209 2.209 2.164
O 0.000 2.209 2.164
O 2.209 0.000 2.164
F 2.209 2.209 0.000
```

***

13.
Here is a geometry-optimized Zn3SF structure from Alexandria via LeMat-Bulk. Energies are from PBE-GGA.

Its space group is Pm-3m. The density comes out at 3.45 g/cm³. The energy is -1.999 eV per atom.

Cell and atoms, written as extended XYZ:
```
5
Lattice="4.917 0.000 0.000 0.000 4.917 0.000 0.000 0.000 4.917" Properties=species:S:1:pos:R:3 pbc="T T T"
Zn 0.000 0.000 2.458
Zn 0.000 2.458 0.000
Zn 2.458 0.000 0.000
S 0.000 0.000 0.000
F 2.458 2.458 2.458
```

***

14.
Here is a geometry-optimized LaPrNdEr2 structure from Alexandria via LeMat-Bulk. Energies are from PBE-GGA.

Its space group is Cmcm. The density comes out at 6.98 g/cm³. The energy is -4.392 eV per atom.

Cell and atoms, written as extended XYZ:
```
10
Lattice="4.258 -5.844 0.000 4.258 5.844 0.000 0.000 0.000 7.253" Properties=species:S:1:pos:R:3 pbc="T T T"
La 4.258 3.130 5.439
La 4.258 -3.130 1.813
Pr 4.258 3.235 1.813
Pr 4.258 -3.235 5.439
Nd 4.258 -0.001 1.813
Nd 4.258 0.001 5.439
Er 1.592 0.000 0.000
Er 1.592 0.000 3.626
Er 6.924 0.000 0.000
Er 6.924 0.000 3.626
```

***

15.
Here is a geometry-optimized Nd6Sm2HoTh structure from Alexandria via LeMat-Bulk. Energies are from PBE-GGA.

Its space group is C2/c. The density comes out at 7.52 g/cm³. The energy is -4.861 eV per atom.

Cell and atoms, written as extended XYZ:
```
20
Lattice="4.645 -7.566 0.000 4.645 7.566 0.000 -1.615 0.000 9.821" Properties=species:S:1:pos:R:3 pbc="T T T"
Nd 2.433 4.269 1.847
Nd 3.100 4.832 5.455
Nd 3.768 4.832 9.276
Nd 3.128 1.571 3.729
Nd 6.050 4.269 3.064
Nd 5.355 1.571 1.182
Nd 2.321 -1.571 8.639
Nd 1.626 -4.269 6.758
Nd 4.548 -1.571 6.092
Nd 3.908 -4.832 0.545
Nd 4.576 -4.832 4.366
Nd 5.243 -4.269 7.974
Sm 2.170 0.690 0.460
Sm 1.363 -0.690 5.370
Sm 6.313 0.690 4.451
Sm 5.506 -0.690 9.362
Ho 3.434 1.409 7.366
Ho 4.242 -1.409 2.455
Th 4.242 7.242 2.455
Th 3.434 -7.242 7.366
```

***

16.
Here is a geometry-optimized MgTa3Ni structure from Alexandria via LeMat-Bulk. Energies are from PBE-GGA.

Its space group is Pm-3m. The density comes out at 10.25 g/cm³. The energy is -6.445 eV per atom.

Cell and atoms, written as extended XYZ:
```
5
Lattice="4.663 0.000 0.000 0.000 4.663 0.000 0.000 0.000 4.663" Properties=species:S:1:pos:R:3 pbc="T T T"
Mg 0.000 0.000 0.000
Ta 0.000 0.000 2.331
Ta 0.000 2.331 0.000
Ta 2.331 0.000 0.000
Ni 2.331 2.331 2.331
```

***

17.
Here is a geometry-optimized LaSiBi3 structure from Alexandria via LeMat-Bulk. Energies are from PBE-GGA.

Its space group is Pm-3m. The density comes out at 5.80 g/cm³. The energy is -3.415 eV per atom.

Cell and atoms, written as extended XYZ:
```
5
Lattice="6.104 0.000 0.000 0.000 6.104 0.000 0.000 0.000 6.104" Properties=species:S:1:pos:R:3 pbc="T T T"
La 0.000 0.000 0.000
Si 3.052 3.052 3.052
Bi 0.000 0.000 3.052
Bi 0.000 3.052 0.000
Bi 3.052 0.000 0.000
```

***

18.
Here is a geometry-optimized MnBeRh2 structure from Alexandria via LeMat-Bulk. Energies are from PBE-GGA.

Its space group is R-3m. The density comes out at 8.66 g/cm³. The energy is -7.068 eV per atom.

Cell and atoms, written as extended XYZ:
```
12
Lattice="2.825 0.000 0.000 -1.412 2.446 0.000 0.000 0.000 22.462" Properties=species:S:1:pos:R:3 pbc="T T T"
Mn 0.000 0.000 0.000
Mn 0.000 1.631 14.975
Mn 1.412 0.815 7.487
Be 0.000 0.000 11.231
Be 0.000 1.631 3.744
Be 1.412 0.815 18.718
Rh 0.000 0.000 5.396
Rh 0.000 0.000 17.066
Rh 0.000 1.631 9.579
Rh 0.000 1.631 20.370
Rh 1.412 0.815 2.091
Rh 1.412 0.815 12.883
```